Entry a
A relaxed NaY3Ni crystal, computed with PBE.

Geometry as extended XYZ:
```
5
Lattice="-0.290 0.966 5.274 -5.361 0.018 -0.298 -0.072 -5.282 0.964" Properties=species:S:1:pos:R:3 pbc="T T T"
Y -2.681 0.009 -0.149
Y -0.036 -2.641 0.482
Y -0.145 0.483 2.637
Ni 0.000 0.000 0.000
Na -2.861 -2.149 2.970
```

Results
- SG: Pm-3m (221)

Entry b
A relaxed NaY3Ni crystal, computed with PBE.

Geometry as extended XYZ:
```
5
Lattice="5.420 0.000 0.000 0.000 5.420 0.000 0.000 0.000 5.420" Properties=species:S:1:pos:R:3 pbc="T T T"
Na 0.000 0.000 0.000
Y 0.000 0.000 2.710
Y 0.000 2.710 0.000
Y 2.710 0.000 0.000
Ni 2.710 2.710 2.710
```

Results
- SG: Pm-3m (221)

Relative energies in eV/atom: entry a 0.000; entry b 1.265

Entry a
A relaxed NaYNi3 crystal, computed with PBE.

Geometry as extended XYZ:
```
5
Lattice="-0.296 3.751 2.373 1.545 -2.142 3.579 4.161 1.062 -1.160" Properties=species:S:1:pos:R:3 pbc="T T T"
Ni -0.148 1.875 1.186
Ni 2.080 0.531 -0.580
Ni 0.772 -1.071 1.789
Y 2.705 1.335 2.396
Na 0.000 0.000 0.000
```

Results
- SG: Pm-3m (221)

Entry b
A relaxed NaYNi3 crystal, computed with PBE.

Geometry as extended XYZ:
```
5
Lattice="-3.450 1.712 -2.986 0.673 -3.811 -2.963 -3.376 -2.510 2.461" Properties=species:S:1:pos:R:3 pbc="T T T"
Ni -1.688 -1.255 1.231
Ni 0.337 -1.905 -1.482
Ni -1.725 0.856 -1.493
Na -3.076 -2.304 -1.744
Y 0.000 0.000 0.000
```

Results
- SG: Pm-3m (221)

Relative energies in eV/atom: entry a 0.000; entry b 0.227

Entry a
A relaxed NaY2Ni2 crystal, computed with PBE.

Geometry as extended XYZ:
```
10
Lattice="8.100 0.000 0.000 0.000 8.100 0.000 0.000 0.000 3.291" Properties=species:S:1:pos:R:3 pbc="T T T"
Ni 1.116 5.166 1.645
Ni 2.934 1.116 1.645
Ni 6.984 2.934 1.645
Ni 5.166 6.984 1.645
Y 2.858 6.908 0.000
Y 5.242 1.192 0.000
Y 6.908 5.242 0.000
Y 1.192 2.858 0.000
Na 4.050 4.050 0.000
Na 0.000 0.000 0.000
```

Results
- SG: P4/mbm (127)

Entry b
A relaxed NaY2Ni2 crystal, computed with PBE.

Geometry as extended XYZ:
```
10
Lattice="7.703 0.000 0.000 0.000 7.703 0.000 0.000 0.000 3.617" Properties=species:S:1:pos:R:3 pbc="T T T"
Na 0.000 0.000 0.000
Na 3.852 3.852 0.000
Y 2.598 1.253 1.809
Y 6.450 2.598 1.809
Y 1.253 5.105 1.809
Y 5.105 6.450 1.809
Ni 4.779 0.927 0.000
Ni 0.927 2.924 0.000
Ni 6.776 4.779 0.000
Ni 2.924 6.776 0.000
```

Results
- SG: P4/mbm (127)

Relative energies in eV/atom: entry a 0.129; entry b 0.000

Entry a
A relaxed NaZnNi3 crystal, computed with PBE.

Geometry as extended XYZ:
```
5
Lattice="4.459 0.000 0.000 0.000 4.459 0.000 0.000 0.000 4.459" Properties=species:S:1:pos:R:3 pbc="T T T"
Na 2.230 2.230 2.230
Ni 0.000 2.230 0.000
Ni 2.230 0.000 0.000
Ni 0.000 0.000 2.230
Zn 0.000 0.000 0.000
```

Results
- SG: Pm-3m (221)

Entry b
A relaxed NaZnNi3 crystal, computed with PBE.

Geometry as extended XYZ:
```
5
Lattice="4.323 0.000 0.000 0.000 4.323 0.000 0.000 0.000 4.323" Properties=species:S:1:pos:R:3 pbc="T T T"
Na 0.000 0.000 0.000
Zn 2.161 2.161 2.161
Ni 0.000 0.000 2.161
Ni 2.161 0.000 0.000
Ni 0.000 2.161 0.000
```

Results
- SG: Pm-3m (221)

Relative energies in eV/atom: entry a 0.000; entry b 0.721